# 1
Below is a geometry-optimized MnCuPt2 structure, with properties calculated at the GGA-PBE level.

Cell and atoms, written as CIF:
```
data_MnCuPt2
_chemical_formula_sum 'Mn1 Cu1 Pt2'
_symmetry_space_group_name_H-M 'P 1'
_symmetry_Int_Tables_number 1
_symmetry_space_group_name_Hall 'P 1'
_cell_length_a 2.841
_cell_length_b 4.778
_cell_length_c 5.390
_cell_angle_alpha 53.09
_cell_angle_beta 90.00
_cell_angle_gamma 90.00
loop_
_atom_site_label
_atom_site_fract_x
_atom_site_fract_y
_atom_site_fract_z
Pt1 0.000 0.000 0.000
Pt2 0.500 0.500 0.000
Mn1 0.000 0.000 0.500
Cu1 0.500 0.500 0.500
```

- crystal system = monoclinic

# 2
Below is a geometry-optimized MnCu3Pt structure, with properties calculated at the GGA-PBE level.

Cell and atoms, written as CIF:
```
data_MnCu3Pt
_chemical_formula_sum 'Mn2 Cu6 Pt2'
_symmetry_space_group_name_H-M 'P 1'
_symmetry_Int_Tables_number 1
_symmetry_space_group_name_Hall 'P 1'
_cell_length_a 3.720
_cell_length_b 6.363
_cell_length_c 7.426
_cell_angle_alpha 57.07
_cell_angle_beta 90.00
_cell_angle_gamma 106.99
loop_
_atom_site_label
_atom_site_fract_x
_atom_site_fract_y
_atom_site_fract_z
Cu1 0.799 0.599 0.367
Cu2 0.514 0.027 0.683
Cu3 0.201 0.401 0.633
Cu4 0.386 0.771 0.098
Cu5 0.486 0.973 0.317
Cu6 0.614 0.229 0.902
Pt1 0.868 0.737 0.643
Pt2 0.132 0.263 0.357
Mn1 0.241 0.482 0.934
Mn2 0.759 0.518 0.066
```

- crystal system = monoclinic

# 3
Below is a geometry-optimized MnCu5Pt4 structure, with properties calculated at the GGA-PBE level.

Cell and atoms, written as CIF:
```
data_MnCu5Pt4
_chemical_formula_sum 'Mn1 Cu5 Pt4'
_symmetry_space_group_name_H-M 'P 1'
_symmetry_Int_Tables_number 1
_symmetry_space_group_name_Hall 'P 1'
_cell_length_a 4.138
_cell_length_b 6.108
_cell_length_c 7.029
_cell_angle_alpha 115.35
_cell_angle_beta 107.12
_cell_angle_gamma 90.00
loop_
_atom_site_label
_atom_site_fract_x
_atom_site_fract_y
_atom_site_fract_z
Cu1 0.175 0.128 0.350
Cu2 0.500 0.500 0.000
Cu3 0.825 0.872 0.650
Cu4 0.177 0.727 0.354
Cu5 0.823 0.273 0.646
Pt1 0.326 0.576 0.652
Pt2 0.674 0.424 0.348
Pt3 0.986 0.731 0.971
Pt4 0.014 0.269 0.029
Mn1 0.500 0.000 0.000
```

- crystal system = monoclinic

# 4
Below is a geometry-optimized Mn2CuPt structure, with properties calculated at the GGA-PBE level.

Cell and atoms, written as CIF:
```
data_Mn2CuPt
_chemical_formula_sum 'Mn2 Cu1 Pt1'
_symmetry_space_group_name_H-M 'P 1'
_symmetry_Int_Tables_number 1
_symmetry_space_group_name_Hall 'P 1'
_cell_length_a 2.878
_cell_length_b 2.878
_cell_length_c 6.535
_cell_angle_alpha 90.00
_cell_angle_beta 90.00
_cell_angle_gamma 90.00
loop_
_atom_site_label
_atom_site_fract_x
_atom_site_fract_y
_atom_site_fract_z
Pt1 0.000 0.000 0.497
Cu1 0.500 0.500 0.763
Mn1 0.000 0.000 0.996
Mn2 0.500 0.500 0.244
```

- crystal system = tetragonal

# 5
Below is a geometry-optimized MnCu2Pt4 structure, with properties calculated at the GGA-PBE level.

Cell and atoms, written as CIF:
```
data_MnCu2Pt4
_chemical_formula_sum 'Mn1 Cu2 Pt4'
_symmetry_space_group_name_H-M 'P 1'
_symmetry_Int_Tables_number 1
_symmetry_space_group_name_Hall 'P 1'
_cell_length_a 4.905
_cell_length_b 4.905
_cell_length_c 6.673
_cell_angle_alpha 121.05
_cell_angle_beta 121.05
_cell_angle_gamma 66.21
loop_
_atom_site_label
_atom_site_fract_x
_atom_site_fract_y
_atom_site_fract_z
Cu1 0.631 0.631 0.262
Cu2 0.369 0.369 0.738
Pt1 0.500 0.000 0.000
Pt2 0.750 0.250 0.500
Pt3 0.250 0.750 0.500
Pt4 0.000 0.500 0.000
Mn1 0.000 0.000 0.000
```

- crystal system = orthorhombic

# 6
Below is a geometry-optimized Mn2CuPt8 structure, with properties calculated at the GGA-PBE level.

Cell and atoms, written as CIF:
```
data_Mn2CuPt8
_chemical_formula_sum 'Mn2 Cu1 Pt8'
_symmetry_space_group_name_H-M 'P 1'
_symmetry_Int_Tables_number 1
_symmetry_space_group_name_Hall 'P 1'
_cell_length_a 4.030
_cell_length_b 7.315
_cell_length_c 7.133
_cell_angle_alpha 120.85
_cell_angle_beta 106.41
_cell_angle_gamma 90.00
loop_
_atom_site_label
_atom_site_fract_x
_atom_site_fract_y
_atom_site_fract_z
Mn1 0.187 0.687 0.373
Mn2 0.813 0.313 0.627
Pt1 0.660 0.890 0.320
Pt2 0.851 0.851 0.702
Pt3 0.340 0.110 0.680
Pt4 0.660 0.431 0.320
Pt5 0.000 0.300 0.000
Pt6 0.149 0.149 0.298
Pt7 0.340 0.569 0.680
Pt8 0.000 0.700 0.000
Cu1 0.500 0.000 0.000
```

- crystal system = orthorhombic

# 7
Below is a geometry-optimized MnCuPt2 structure, with properties calculated at the GGA-PBE level.

Cell and atoms, written as CIF:
```
data_MnCuPt2
_chemical_formula_sum 'Mn1 Cu1 Pt2'
_symmetry_space_group_name_H-M 'P 1'
_symmetry_Int_Tables_number 1
_symmetry_space_group_name_Hall 'P 1'
_cell_length_a 4.625
_cell_length_b 4.625
_cell_length_c 4.774
_cell_angle_alpha 79.14
_cell_angle_beta 79.14
_cell_angle_gamma 35.63
loop_
_atom_site_label
_atom_site_fract_x
_atom_site_fract_y
_atom_site_fract_z
Cu1 0.750 0.750 0.750
Pt1 0.000 0.000 0.997
Pt2 0.500 0.500 0.503
Mn1 0.250 0.250 0.250
```

- crystal system = monoclinic

# 8
Below is a geometry-optimized Mn2Cu2Pt7 structure, with properties calculated at the GGA-PBE level.

Cell and atoms, written as CIF:
```
data_Mn2Cu2Pt7
_chemical_formula_sum 'Mn2 Cu2 Pt7'
_symmetry_space_group_name_H-M 'P 1'
_symmetry_Int_Tables_number 1
_symmetry_space_group_name_Hall 'P 1'
_cell_length_a 5.267
_cell_length_b 7.086
_cell_length_c 5.267
_cell_angle_alpha 90.00
_cell_angle_beta 119.89
_cell_angle_gamma 90.00
loop_
_atom_site_label
_atom_site_fract_x
_atom_site_fract_y
_atom_site_fract_z
Pt1 0.500 0.216 0.500
Pt2 0.500 0.688 0.000
Pt3 0.500 0.312 0.000
Pt4 0.000 0.312 0.500
Pt5 0.000 0.688 0.500
Pt6 0.000 0.000 0.000
Pt7 0.500 0.784 0.500
Mn1 0.184 0.500 0.184
Mn2 0.816 0.500 0.816
Cu1 0.726 0.000 0.274
Cu2 0.274 0.000 0.726
```

- crystal system = orthorhombic

no.,DFT formation energy (eV/atom),density (kg/m³)
1,-0.21,14439
2,0.20,10581
3,-0.01,12613
4,0.04,11307
5,0.15,13803
6,-0.15,16894
7,-0.23,14490
8,0.18,15615